[1]
Computed, not measured: a relaxed Ba2YAsH crystal at the GGA-PBEsol level of DFT. Values from VASP.

Results
The value obtained for the density of states at the Fermi level is 5.3 states/eV/cell. Its size of the total moment is 0.00 μB/f.u. As for the uncorrected energy: -18.447 eV for the cell shown.

Structure (Quantum ESPRESSO input):
```
&SYSTEM
  ibrav = 0, nat = 5, ntyp = 4
/
ATOMIC_SPECIES
Y 88.91 Y.upf
H 1.01 H.upf
As 74.92 As.upf
Ba 137.33 Ba.upf
ATOMIC_POSITIONS crystal
Y 0.000 0.000 0.000
H 0.500 0.000 0.000
As 0.500 0.500 0.500
Ba 0.000 0.000 0.500
Ba 0.000 0.500 0.000
CELL_PARAMETERS angstrom
3.909 0.000 0.000
0.000 6.289 0.000
0.000 0.000 6.289
```

[2]
Computed, not measured: a relaxed MnCo2As crystal at the GGA-PBEsol level of DFT. Values from VASP.

Results
The value obtained for the density of states at the Fermi level is 5.7 states/eV/cell. Its size of the total moment is 3.22 μB/f.u. As for the uncorrected energy: -30.233 eV for the cell shown. Its formation energy is 0.03 eV per atom.

Structure (Quantum ESPRESSO input):
```
&SYSTEM
  ibrav = 0, nat = 4, ntyp = 3
/
ATOMIC_SPECIES
As 74.92 As.upf
Co 58.93 Co.upf
Mn 54.94 Mn.upf
ATOMIC_POSITIONS crystal
As 0.500 0.500 0.500
Co 0.000 0.000 0.000
Co 0.750 0.750 0.750
Mn 0.250 0.250 0.250
CELL_PARAMETERS angstrom
3.965 0.000 0.000
1.982 3.433 0.000
1.982 1.144 3.237
```

Q: What is the uncorrected energy in the first record?
A: -18.447 eV for the cell shown

Q: What is the uncorrected energy in the first record?
A: -18.447 eV for the cell shown

Q: The highest uncorrected energy belongs to which entry?
A: Ba2YAsH

Q: Which formula does entry 1 have?
A: Ba2YAsH